Entry 1:
VASP calculation (PBE) on crystalline Sr2TaCdW at its relaxed geometry.

Summary:
The total energy comes out at -3.4718 eV per atom. As for the calculated density: 6.39 g/cm³. The calculation puts the formation energy at 2.35 eV/atom. The size of the total moment is 0.00 μB/cell.

a = 5.6766 Å, b = 5.2595 Å, c = 5.6766 Å
α = 90.00°, β = 90.00°, γ = 90.00°
Last column: nearest neighbours and their distance in Å.
Sites, in units of the cell vectors:
1 Cd 0.0000 0.5000 0.0000  2 Ta 2.63
2 Ta 0.0000 0.0000 0.0000  2 Cd 2.63, 4 Sr 2.84
3 Sr 0.0000 0.0000 0.5000  2 Ta 2.84
4 W 0.5000 0.5000 0.5000  8 Sr 3.87, 4 Cd 4.01
5 Sr 0.5000 0.0000 0.0000  2 Ta 2.84


Entry 2:
VASP calculation (PBE) on crystalline Ca2GaRuO6 at its relaxed geometry.

Summary:
The total energy comes out at -6.6254 eV per atom. As for the calculated density: 4.99 g/cm³. For the formation energy (no corrections), the calculation gives -2020 meV per atom. The size of the total moment is 6.02 μB/cell.

a = 5.4106 Å, b = 5.5481 Å, c = 7.6978 Å
α = 90.00°, β = 90.02°, γ = 90.00°
Last column: nearest neighbours and their distance in Å.
Sites, in units of the cell vectors:
1 Ca 0.5124 0.5529 0.7512  6 O 2.33-2.59
2 O 0.2042 0.2032 0.4543  1 Ru 1.99, 1 Ga 2.01
3 O 0.7004 0.2929 0.5477  1 Ru 1.99, 1 Ga 2.02
4 O 0.0897 0.4749 0.7510  1 Ru 1.98, 1 Ga 2.00
5 O 0.9103 0.5251 0.2490  1 Ru 1.98, 1 Ga 2.00
6 Ga 0.5000 0.0000 0.0000  6 O 2.00-2.02
7 O 0.2958 0.7032 0.0457  1 Ru 1.99, 1 Ga 2.01
8 Ru 0.5000 0.0000 0.5000  6 O 1.98-1.99
9 O 0.4103 0.9749 0.7490  1 Ru 1.98, 1 Ga 2.00
10 O 0.7042 0.2968 0.9543  1 Ru 1.99, 1 Ga 2.01
11 O 0.2996 0.7071 0.4523  1 Ru 1.99, 1 Ga 2.02
12 O 0.5897 0.0251 0.2510  1 Ru 1.98, 1 Ga 2.00
13 O 0.2004 0.2072 0.0477  1 Ru 1.99, 1 Ga 2.02
14 O 0.7996 0.7928 0.9523  1 Ru 1.99, 1 Ga 2.02
15 O 0.7958 0.7968 0.5457  1 Ru 1.99, 1 Ga 2.01
16 Ga 0.0000 0.5000 0.5000  6 O 2.00-2.02
17 Ru 0.0000 0.5000 0.0000  6 O 1.98-1.99
18 Ca 0.4876 0.4471 0.2488  6 O 2.33-2.59
19 Ca 0.0124 0.9471 0.2512  6 O 2.33-2.59
20 Ca 0.9876 0.0529 0.7488  6 O 2.33-2.59


Entry 3:
VASP calculation (PBE) on crystalline TlTcAg2 at its relaxed geometry.

Summary:
The total energy comes out at -3.9063 eV per atom. As for the calculated density: 11.24 g/cm³. The calculation puts the formation energy at 0.70 eV/atom. The size of the total moment is 2.85 μB/cell.

a = 4.7654 Å, b = 4.7654 Å, c = 4.7654 Å
α = 60.00°, β = 60.00°, γ = 60.00°
Last column: nearest neighbours and their distance in Å.
Sites, in units of the cell vectors:
1 Ag 0.2500 0.2500 0.2500  4 Tl 2.92, 4 Tc 2.92
2 Ag 0.7500 0.7500 0.7500  4 Tl 2.92, 4 Tc 2.92
3 Tc 0.0000 0.0000 0.0000  8 Ag 2.92
4 Tl 0.5000 0.5000 0.5000  8 Ag 2.92


> Among the records above, which one has the highest size of the total moment?

Ca2GaRuO6